4
Lattice="8.115 -0.020 -0.012 7.641 2.731 -0.012 7.641 1.315 2.394" Properties=species:S:1:pos:R:3 comment="Be2MoAu PBE relaxed" dos_at_fermi_per_ev_atom=0.816 e_above_lowest_polymorph_mev_per_atom=239 e_tot_ev_per_atom=-5.15 pbc="T T T"
Be 0.007 0.001 0.001
Be 11.691 2.012 1.184
Mo 5.849 1.006 0.593
Au 17.548 3.019 1.778